# 1
LaGaPd2 | PBE | optimized geometry

Cell: 7.669 7.146 5.880 Å, 90.00 90.00 90.00°
Positions (direct):
La: 0.034 0.250 0.151
La: 0.466 0.750 0.651
La: 0.534 0.250 0.349
La: 0.966 0.750 0.849
Ga: 0.120 0.750 0.348
Ga: 0.380 0.250 0.848
Ga: 0.620 0.750 0.152
Ga: 0.880 0.250 0.652
Pd: 0.177 0.053 0.588
Pd: 0.177 0.447 0.588
Pd: 0.323 0.553 0.088
Pd: 0.323 0.947 0.088
Pd: 0.677 0.053 0.912
Pd: 0.677 0.447 0.912
Pd: 0.823 0.553 0.412
Pd: 0.823 0.947 0.412

Output
As for the raw total energy: -5.46 eV/atom. For the calculated formation energy, the calculation gives -870 meV per atom. As for the crystal system: orthorhombic. Its total magnetization is 0.00 Bohr magnetons per cell.


# 2
LiPmHoS3 | PBE | optimized geometry

Cell: 8.082 3.842 8.408 Å, 90.00 102.60 90.00°
Positions (direct):
Li: 0.087 0.250 0.084
Li: 0.913 0.750 0.916
Pm: 0.188 0.250 0.722
Pm: 0.812 0.750 0.278
Ho: 0.337 0.750 0.334
Ho: 0.663 0.250 0.666
S: 0.098 0.250 0.367
S: 0.216 0.750 0.998
S: 0.429 0.750 0.671
S: 0.571 0.250 0.329
S: 0.784 0.250 0.002
S: 0.902 0.750 0.633

Output
Its uncorrected formation energy is -10.96 eV/f.u. As for the raw total energy: -5.76 eV/atom. As for the crystal system: monoclinic. Its total magnetization is 0.00 Bohr magnetons per cell.


# 3
BaZn2Cu | PBE | optimized geometry

Cell: 6.303 6.303 4.364 Å, 108.34 108.34 123.92°
Positions (direct):
Ba: 0.000 0.000 0.000
Zn: 0.000 0.500 0.500
Zn: 0.500 0.000 0.500
Cu: 0.500 0.500 0.000

Output
As for the raw total energy: -1.80 eV/atom. For the calculated formation energy, the calculation gives 340 meV per atom. As for the crystal system: monoclinic. Its total magnetization is 0.00 Bohr magnetons per cell.


# 4
Mg3ZrF | PBE | optimized geometry

Cell: 4.574 4.574 4.574 Å, 90.00 90.00 90.00°
Positions (direct):
Mg: 0.000 0.000 0.500
Mg: 0.000 0.500 0.000
Mg: 0.500 0.000 0.000
Zr: 0.500 0.500 0.500
F: 0.000 0.000 0.000

Output
Its uncorrected formation energy is -3.30 eV/f.u. As for the raw total energy: -3.70 eV/atom. As for the crystal system: cubic. Its total magnetization is 1.51 Bohr magnetons per cell.


# 5
ScC3 | PBE | optimized geometry

Cell: 4.361 4.666 4.070 Å, 90.00 90.00 90.00°
Positions (direct):
Sc: 0.250 0.250 0.140
Sc: 0.750 0.750 0.860
C: 0.087 0.750 0.295
C: 0.250 0.750 0.611
C: 0.413 0.750 0.295
C: 0.587 0.250 0.705
C: 0.750 0.250 0.389
C: 0.913 0.250 0.705

Output
As for the raw total energy: -7.86 eV/atom. For the calculated formation energy, the calculation gives 641 meV per atom. As for the crystal system: orthorhombic. Its total magnetization is 0.00 Bohr magnetons per cell.


# 6
TbCe3Hf2N6 | PBE | optimized geometry

Cell: 5.874 5.874 6.023 Å, 99.35 99.35 119.99°
Positions (direct):
Tb: 0.000 0.000 0.000
Ce: 0.165 0.835 0.500
Ce: 0.500 0.500 0.500
Ce: 0.835 0.165 0.500
Hf: 0.333 0.667 0.000
Hf: 0.667 0.333 0.000
N: 0.075 0.426 0.224
N: 0.278 0.278 0.779
N: 0.426 0.075 0.224
N: 0.574 0.925 0.776
N: 0.722 0.722 0.221
N: 0.925 0.574 0.776

Output
Its uncorrected formation energy is -19.83 eV/f.u. As for the raw total energy: -9.34 eV/atom. As for the crystal system: monoclinic. Its total magnetization is 0.00 Bohr magnetons per cell.


The calculation returns the following volume values, one per record and in order: 322.2, 254.8, 106.9, 95.7, 82.8, 170.2 Å³ per cell.